VASP calculation (PBE) on a relaxed structure of GdHoErLu.

The structure in POSCAR format:
```
GdHoErLu
1.0
-1.5401 3.6557 3.9639
-5.2993 0.0814 1.8328
-1.2076 -1.8113 5.1682
Er Ho Lu Gd
1 1 1 1
direct
0.5000 0.5000 0.5000 Er
0.7500 0.7500 0.7500 Ho
0.0000 0.0000 0.0000 Lu
0.2500 0.2500 0.2500 Gd
```

Results
- Uncorrected energy: -27.28 eV for the cell shown
- Volume: 124.71 Å³ per cell
- Magnetization: 7.977 μB per formula unit
- Formation enthalpy at 0 K: 44 kJ/mol of formula units



VASP calculation (PBE) on a relaxed structure of NdGdHoEr.

The structure in POSCAR format:
```
NdGdHoEr
1.0
5.6927 0.0000 0.0000
2.8464 4.9301 0.0000
2.8464 1.6434 4.6481
Ho Gd Er Nd
1 1 1 1
direct
0.0000 0.0000 0.0000 Ho
0.7500 0.7500 0.7500 Gd
0.5000 0.5000 0.5000 Er
0.2500 0.2500 0.2500 Nd
```

Results
- Uncorrected energy: -27.56 eV for the cell shown
- Volume: 130.45 Å³ per cell
- Magnetization: 7.757 μB per formula unit
- Formation enthalpy at 0 K: 41 kJ/mol of formula units



VASP calculation (PBE) on a relaxed structure of PmGdHoEr.

The structure in POSCAR format:
```
PmGdHoEr
1.0
5.6803 0.0000 0.0000
2.8401 4.9193 0.0000
2.8401 1.6398 4.6379
Ho Gd Pm Er
1 1 1 1
direct
0.0000 0.0000 0.0000 Ho
0.2500 0.2500 0.2500 Gd
0.7500 0.7500 0.7500 Pm
0.5000 0.5000 0.5000 Er
```

Results
- Uncorrected energy: -27.53 eV for the cell shown
- Volume: 129.60 Å³ per cell
- Magnetization: 7.883 μB per formula unit
- Formation enthalpy at 0 K: 43 kJ/mol of formula units



VASP calculation (PBE) on a relaxed structure of GdHoErPu.

The structure in POSCAR format:
```
GdHoErPu
1.0
-1.2218 -2.5562 -4.8002
-3.5987 -4.2563 -0.0537
-5.0394 0.6400 -2.2943
Pu Er Gd Ho
1 1 1 1
direct
0.7500 0.7500 0.7500 Pu
0.0000 0.0000 0.0000 Er
0.2500 0.2500 0.2500 Gd
0.5000 0.5000 0.5000 Ho
```

Results
- Uncorrected energy: -36.80 eV for the cell shown
- Volume: 122.45 Å³ per cell
- Magnetization: 0.961 μB per formula unit
- Formation enthalpy at 0 K: 73 kJ/mol of formula units



VASP calculation (PBE) on a relaxed structure of GdHoErTm.

The structure in POSCAR format:
```
GdHoErTm
1.0
-2.9468 -3.5795 -3.1778
2.4058 -4.7150 -1.8910
-1.5581 -4.9818 2.0853
Tm Er Ho Gd
1 1 1 1
direct
0.2500 0.2500 0.2500 Tm
0.7500 0.7500 0.7500 Er
0.0000 0.0000 0.0000 Ho
0.5000 0.5000 0.5000 Gd
```

Results
- Uncorrected energy: -27.22 eV for the cell shown
- Volume: 125.57 Å³ per cell
- Magnetization: 8.367 μB per formula unit
- Formation enthalpy at 0 K: 46 kJ/mol of formula units



VASP calculation (PBE) on a relaxed structure of GdHoErZn.

The structure in POSCAR format:
```
GdHoErZn
1.0
5.3165 0.0000 0.0000
2.6582 4.6042 0.0000
2.6582 1.5347 4.3409
Er Gd Ho Zn
1 1 1 1
direct
0.0000 0.0000 0.0000 Er
0.2500 0.2500 0.2500 Gd
0.7500 0.7500 0.7500 Ho
0.5000 0.5000 0.5000 Zn
```

Results
- Uncorrected energy: -24.37 eV for the cell shown
- Volume: 106.26 Å³ per cell
- Magnetization: 7.648 μB per formula unit
- Formation enthalpy at 0 K: 12 kJ/mol of formula units



VASP calculation (PBE) on a relaxed structure of GdHoErZr.

The structure in POSCAR format:
```
GdHoErZr
1.0
5.4684 0.0000 0.0000
2.7342 4.7357 0.0000
2.7342 1.5786 4.4649
Er Gd Zr Ho
1 1 1 1
direct
0.5000 0.5000 0.5000 Er
0.2500 0.2500 0.2500 Gd
0.7500 0.7500 0.7500 Zr
0.0000 0.0000 0.0000 Ho
```

Results
- Uncorrected energy: -30.95 eV for the cell shown
- Volume: 115.63 Å³ per cell
- Magnetization: 5.198 μB per formula unit
- Formation enthalpy at 0 K: 79 kJ/mol of formula units



VASP calculation (PBE) on a relaxed structure of GdErI.

The structure in POSCAR format:
```
GdErI
1.0
3.8281 0.0000 0.0000
-1.9140 3.3152 0.0000
0.0000 0.0000 7.5423
I Gd Er
1 1 1
direct
0.6667 0.3333 0.3303 I
0.3333 0.6667 0.6614 Gd
0.0000 0.0000 0.0083 Er
```

Results
- Uncorrected energy: -21.75 eV for the cell shown
- Volume: 95.72 Å³ per cell
- Magnetization: 7.524 μB per formula unit
- Raw formation energy: -0.52 eV per atom



VASP calculation (PBE) on a relaxed structure of GdErIn.

The structure in POSCAR format:
```
GdErIn
1.0
-2.9961 -1.8948 0.6740
1.0977 -3.1662 -4.0214
1.7920 -1.1309 4.7865
Er Gd In
1 1 1
direct
0.4043 0.3333 0.6667 Er
0.9636 0.0000 0.0000 Gd
0.6322 0.6667 0.3333 In
```

Results
- Uncorrected energy: -22.08 eV for the cell shown
- Volume: 85.63 Å³ per cell
- Magnetization: 7.360 μB per formula unit
- Formation enthalpy at 0 K: -67 kJ/mol of formula units
- Relative energy among the computed polymorphs: 80 meV/atom



VASP calculation (PBE) on a relaxed structure of GdErIn.

The structure in POSCAR format:
```
GdErIn
1.0
3.6338 0.0000 0.0000
0.0000 3.6338 0.0000
-1.8169 -1.8169 6.5365
Gd Er In
1 1 1
direct
0.2923 0.2923 0.5846 Gd
0.6049 0.6049 0.2097 Er
0.9529 0.9529 0.9057 In
```

Results
- Uncorrected energy: -22.32 eV for the cell shown
- Volume: 86.31 Å³ per cell
- Magnetization: 7.885 μB per formula unit
- Formation enthalpy at 0 K: -90 kJ/mol of formula units
- Relative energy among the computed polymorphs: 0 meV/atom



VASP calculation (PBE) on a relaxed structure of GdErMnIn.

The structure in POSCAR format:
```
GdErMnIn
1.0
-0.0103 -4.8368 -1.9101
-0.0298 -4.0725 3.2337
-4.2593 -2.9534 0.4227
Er Gd Mn In
1 1 1 1
direct
0.5000 0.5000 0.5000 Er
0.0000 0.0000 0.0000 Gd
0.7500 0.7500 0.7500 Mn
0.2500 0.2500 0.2500 In
```

Results
- Uncorrected energy: -30.98 eV for the cell shown
- Volume: 99.44 Å³ per cell
- Magnetization: 3.693 μB per formula unit
- Formation enthalpy at 0 K: -41 kJ/mol of formula units



VASP calculation (PBE) on a relaxed structure of GdErInPb.

The structure in POSCAR format:
```
GdErInPb
1.0
5.3926 0.0000 0.0000
2.6963 4.6702 0.0000
2.6963 1.5567 4.4031
Gd Er Pb In
1 1 1 1
direct
0.2500 0.2500 0.2500 Gd
0.7500 0.7500 0.7500 Er
0.5000 0.5000 0.5000 Pb
0.0000 0.0000 0.0000 In
```

Results
- Uncorrected energy: -26.75 eV for the cell shown
- Volume: 110.89 Å³ per cell
- Magnetization: 7.224 μB per formula unit
- Formation enthalpy at 0 K: -160 kJ/mol of formula units



VASP calculation (PBE) on a relaxed structure of PmGdErIn.

The structure in POSCAR format:
```
PmGdErIn
1.0
5.4783 0.0000 0.0000
2.7392 4.7444 0.0000
2.7392 1.5815 4.4730
Pm Er In Gd
1 1 1 1
direct
0.5000 0.5000 0.5000 Pm
0.0000 0.0000 0.0000 Er
0.7500 0.7500 0.7500 In
0.2500 0.2500 0.2500 Gd
```

Results
- Uncorrected energy: -26.73 eV for the cell shown
- Volume: 116.26 Å³ per cell
- Magnetization: 8.286 μB per formula unit
- Formation enthalpy at 0 K: -58 kJ/mol of formula units



VASP calculation (PBE) on a relaxed structure of GdErInRh.

The structure in POSCAR format:
```
GdErInRh
1.0
5.1005 0.0000 0.0000
2.5503 4.4172 0.0000
2.5503 1.4724 4.1646
Er Gd In Rh
1 1 1 1
direct
0.0000 0.0000 0.0000 Er
0.5000 0.5000 0.5000 Gd
0.7500 0.7500 0.7500 In
0.2500 0.2500 0.2500 Rh
```

Results
- Uncorrected energy: -30.94 eV for the cell shown
- Volume: 93.83 Å³ per cell
- Magnetization: 7.057 μB per formula unit
- Formation enthalpy at 0 K: -213 kJ/mol of formula units



VASP calculation (PBE) on a relaxed structure of SmGdErIn.

The structure in POSCAR format:
```
SmGdErIn
1.0
5.4755 0.0000 0.0000
2.7377 4.7419 0.0000
2.7377 1.5806 4.4707
Sm Gd In Er
1 1 1 1
direct
0.0000 0.0000 0.0000 Sm
0.7500 0.7500 0.7500 Gd
0.5000 0.5000 0.5000 In
0.2500 0.2500 0.2500 Er
```

Results
- Uncorrected energy: -26.59 eV for the cell shown
- Volume: 116.08 Å³ per cell
- Magnetization: 8.563 μB per formula unit
- Formation enthalpy at 0 K: -47 kJ/mol of formula units



VASP calculation (PBE) on a relaxed structure of GdErInTc.

The structure in POSCAR format:
```
GdErInTc
1.0
5.0741 0.0000 0.0000
2.5371 4.3943 0.0000
2.5371 1.4648 4.1430
Er In Gd Tc
1 1 1 1
direct
0.7500 0.7500 0.7500 Er
0.0000 0.0000 0.0000 In
0.2500 0.2500 0.2500 Gd
0.5000 0.5000 0.5000 Tc
```

Results
- Uncorrected energy: -32.31 eV for the cell shown
- Volume: 92.38 Å³ per cell
- Magnetization: 7.032 μB per formula unit
- Formation enthalpy at 0 K: -54 kJ/mol of formula units



VASP calculation (PBE) on a relaxed structure of GdErThIn.

The structure in POSCAR format:
```
GdErThIn
1.0
-0.5492 4.3028 -3.3356
-4.7069 2.7881 -0.1167
-0.2362 5.0577 2.0749
Th Er Gd In
1 1 1 1
direct
0.5000 0.5000 0.5000 Th
0.2500 0.2500 0.2500 Er
0.7500 0.7500 0.7500 Gd
0.0000 0.0000 0.0000 In
```

Results
- Uncorrected energy: -28.92 eV for the cell shown
- Volume: 115.85 Å³ per cell
- Magnetization: 8.263 μB per formula unit
- Formation enthalpy at 0 K: -12 kJ/mol of formula units



VASP calculation (PBE) on a relaxed structure of GdErTlIn.

The structure in POSCAR format:
```
GdErTlIn
1.0
5.3495 0.0000 0.0000
2.6748 4.6328 0.0000
2.6748 1.5443 4.3679
In Er Gd Tl
1 1 1 1
direct
0.5000 0.5000 0.5000 In
0.2500 0.2500 0.2500 Er
0.7500 0.7500 0.7500 Gd
0.0000 0.0000 0.0000 Tl
```

Results
- Uncorrected energy: -25.36 eV for the cell shown
- Volume: 108.25 Å³ per cell
- Magnetization: 7.313 μB per formula unit
- Formation enthalpy at 0 K: -155 kJ/mol of formula units



VASP calculation (PBE) on a relaxed structure of GdEr2Ir.

The structure in POSCAR format:
```
GdEr2Ir
1.0
3.4624 0.0000 0.0000
0.0000 3.4624 0.0000
0.0000 0.0000 8.7548
Er Gd Ir
2 1 1
direct
0.0000 0.0000 0.1844 Er
0.0000 0.0000 0.8156 Er
0.5000 0.5000 0.5000 Gd
0.5000 0.5000 0.0000 Ir
```

Results
- Uncorrected energy: -33.85 eV for the cell shown
- Volume: 104.95 Å³ per cell
- Magnetization: 7.961 μB per formula unit
- Formation enthalpy at 0 K: -172 kJ/mol of formula units
- Relative energy among the computed polymorphs: 0 meV/atom



VASP calculation (PBE) on a relaxed structure of GdEr2Ir.

The structure in POSCAR format:
```
GdEr2Ir
1.0
-1.5643 1.2534 -3.3260
-3.8566 -0.0049 -0.4550
-2.2186 8.9154 2.1362
Er Ir Gd
2 1 1
direct
0.7235 0.7235 0.8296 Er
0.2765 0.2765 0.1704 Er
0.0000 0.0000 0.0000 Ir
0.5000 0.5000 0.5000 Gd
```

Results
- Uncorrected energy: -33.44 eV for the cell shown
- Volume: 119.66 Å³ per cell
- Magnetization: 8.434 μB per formula unit
- Formation enthalpy at 0 K: -133 kJ/mol of formula units
- Relative energy among the computed polymorphs: 101 meV/atom